No. 1
! AlMoIr2 (PBE, relaxed); values from VASP
! Total magnetic moment   0.00 μB/f.u.
! Crystal system   cubic
! Formation enthalpy at 0 K   -177 meV/atom
! ΔE to the lowest computed polymorph   0.4355 eV/atom
&SYSTEM
  ibrav = 0, nat = 4, ntyp = 3
/
ATOMIC_SPECIES
Ir 192.22 Ir.upf
Mo 95.94 Mo.upf
Al 26.98 Al.upf
ATOMIC_POSITIONS angstrom
Ir -0.950 -2.399 0.760
Ir -2.850 -7.198 2.279
Mo -1.900 -4.798 1.519
Al 0.000 0.000 0.000
CELL_PARAMETERS angstrom
1.018 -3.815 1.925
-2.963 -2.053 2.510
-1.855 -3.729 -1.396



No. 2
! SrZnCr2 (PBE, relaxed); values from VASP
! Total magnetic moment   8.20 μB/f.u.
! Crystal system   monoclinic
! Formation enthalpy at 0 K   911 meV/atom
&SYSTEM
  ibrav = 0, nat = 4, ntyp = 3
/
ATOMIC_SPECIES
Cr 52.00 Cr.upf
Zn 65.41 Zn.upf
Sr 87.62 Sr.upf
ATOMIC_POSITIONS angstrom
Cr 0.000 0.000 0.000
Cr -0.458 -2.777 -1.295
Zn -1.441 -3.051 1.542
Sr -2.037 -0.842 -2.984
CELL_PARAMETERS angstrom
-1.054 -0.567 -5.821
0.138 -4.986 3.230
-3.020 -1.116 -0.147



No. 3
! NpUAs2N (PBE, relaxed); values from VASP
! Total magnetic moment   2.63 μB/f.u.
! Crystal system   tetragonal
! ΔE_f (raw)   -0.795 eV/atom
&SYSTEM
  ibrav = 0, nat = 10, ntyp = 4
/
ATOMIC_SPECIES
As 74.92 As.upf
Np 237.00 Np.upf
N 14.01 N.upf
U 238.03 U.upf
ATOMIC_POSITIONS angstrom
As -10.808 -2.548 5.752
As -8.230 -3.865 2.832
As -4.407 0.214 1.874
As -1.828 -1.103 -1.046
Np -2.159 1.184 0.512
Np -10.478 -4.836 4.195
N -5.493 -2.370 3.328
N -7.144 -1.281 1.378
U -7.314 -1.040 3.635
U -5.323 -2.611 1.071
CELL_PARAMETERS angstrom
-1.797 3.456 -0.504
-1.505 -1.278 -3.395
-10.985 -4.740 6.656



No. 4
! AlZn2In (PBE, relaxed); values from VASP
! Total magnetic moment   0.00 μB/f.u.
! Crystal system   tetragonal
! Formation enthalpy at 0 K   129 meV/atom
! ΔE to the lowest computed polymorph   0.0438 eV/atom
&SYSTEM
  ibrav = 0, nat = 4, ntyp = 3
/
ATOMIC_SPECIES
Al 26.98 Al.upf
Zn 65.41 Zn.upf
In 114.82 In.upf
ATOMIC_POSITIONS angstrom
Al 0.836 2.430 1.480
Zn 0.000 0.000 0.000
Zn 3.406 2.460 0.000
In 2.569 0.030 1.480
CELL_PARAMETERS angstrom
5.139 0.061 0.000
1.673 4.859 0.000
-3.406 -2.460 2.959



No. 5
! NaCaIrRh2 (PBE, relaxed); values from VASP
! Total magnetic moment   2.03 μB/f.u.
! Crystal system   tetragonal
! Formation enthalpy at 0 K   1488 meV/atom
&SYSTEM
  ibrav = 0, nat = 5, ntyp = 4
/
ATOMIC_SPECIES
Rh 102.91 Rh.upf
Ca 40.08 Ca.upf
Ir 192.22 Ir.upf
Na 22.99 Na.upf
ATOMIC_POSITIONS angstrom
Rh 0.000 0.000 2.442
Rh 2.442 0.000 0.000
Ca 0.000 0.000 0.000
Ir 0.000 2.497 0.000
Na 2.442 2.497 2.442
CELL_PARAMETERS angstrom
4.884 0.000 0.000
0.000 4.994 0.000
0.000 0.000 4.884



No. 6
! Na2YN (PBE, relaxed); values from VASP
! Total magnetic moment   0.00 μB/f.u.
! Crystal system   tetragonal
! ΔE_f (raw)   1.026 eV/atom
&SYSTEM
  ibrav = 0, nat = 8, ntyp = 3
/
ATOMIC_SPECIES
N 14.01 N.upf
Na 22.99 Na.upf
Y 88.91 Y.upf
ATOMIC_POSITIONS angstrom
N 3.453 3.453 0.000
N 3.453 6.907 2.500
Na 3.438 5.180 1.250
Na 8.634 6.923 3.750
Na 5.180 6.891 3.750
Na 3.469 1.727 1.250
Y 0.000 0.000 0.000
Y 6.907 3.453 2.500
CELL_PARAMETERS angstrom
6.907 0.000 0.000
0.000 6.907 0.000
3.453 3.453 5.000



No. 7
! NaCuH3 (PBE, relaxed); values from VASP
! Total magnetic moment   0.30 μB/f.u.
! Crystal system   tetragonal
! ΔE to the lowest computed polymorph   0.4368 eV/atom
&SYSTEM
  ibrav = 0, nat = 5, ntyp = 3
/
ATOMIC_SPECIES
Cu 63.55 Cu.upf
H 1.01 H.upf
Na 22.99 Na.upf
ATOMIC_POSITIONS angstrom
Cu 1.588 1.588 2.835
H 0.000 1.588 2.312
H 1.588 0.000 2.312
H 0.000 0.000 4.066
Na 0.000 0.000 0.705
CELL_PARAMETERS angstrom
3.176 0.000 0.000
0.000 3.176 0.000
0.000 0.000 5.403



No. 8
! TaCuBr3 (PBE, relaxed); values from VASP
! Total magnetic moment   3.26 μB/f.u.
! Crystal system   cubic
! ΔE_f (raw)   0.772 eV/atom
! ΔE to the lowest computed polymorph   0.4480 eV/atom
&SYSTEM
  ibrav = 0, nat = 5, ntyp = 3
/
ATOMIC_SPECIES
Br 79.90 Br.upf
Cu 63.55 Cu.upf
Ta 180.95 Ta.upf
ATOMIC_POSITIONS angstrom
Br 1.214 0.700 2.048
Br -1.802 -0.973 1.401
Br -1.198 2.173 -0.032
Cu 0.000 0.000 0.000
Ta -1.786 1.900 3.417
CELL_PARAMETERS angstrom
-2.397 4.345 -0.065
-3.604 -1.946 2.803
2.429 1.400 4.095



No. 9
! BiPPtS2 (PBE, relaxed); values from VASP
! Total magnetic moment   0.00 μB/f.u.
! Crystal system   tetragonal
! ΔE_f (raw)   0.340 eV/atom
! ΔE to the lowest computed polymorph   0.0000 eV/atom
&SYSTEM
  ibrav = 0, nat = 5, ntyp = 4
/
ATOMIC_SPECIES
Pt 195.08 Pt.upf
S 32.06 S.upf
P 30.97 P.upf
Bi 208.98 Bi.upf
ATOMIC_POSITIONS angstrom
Pt 0.000 0.000 0.000
S 2.451 0.000 0.000
S 0.000 2.451 0.000
P 0.000 0.000 2.256
Bi 2.451 2.451 2.256
CELL_PARAMETERS angstrom
4.903 0.000 0.000
0.000 4.903 0.000
0.000 0.000 4.513



No. 10
! La12Sn5Ru2 (PBE, relaxed); values from VASP
! Total magnetic moment   1.06 μB/f.u.
! Crystal system   monoclinic
! Formation enthalpy at 0 K   -431 meV/atom
&SYSTEM
  ibrav = 0, nat = 19, ntyp = 3
/
ATOMIC_SPECIES
Sn 118.71 Sn.upf
La 138.91 La.upf
Ru 101.07 Ru.upf
ATOMIC_POSITIONS angstrom
Sn 3.983 2.424 3.570
Sn 3.983 0.935 8.201
Sn 0.000 5.043 1.726
Sn 0.000 -1.511 4.898
Sn 0.000 3.554 6.356
La 3.983 -0.677 2.264
La 2.026 5.012 4.257
La 5.843 2.603 0.801
La -2.026 5.012 4.257
La 2.123 2.603 0.801
La 1.860 3.374 9.126
La 6.009 0.965 5.670
La 1.957 0.965 5.670
La 3.983 8.440 1.882
La 0.000 -2.463 8.045
La 0.000 6.655 7.662
La -1.860 3.374 9.126
Ru 5.670 0.000 0.000
Ru 2.295 0.000 0.000
CELL_PARAMETERS angstrom
7.965 0.000 0.000
-3.983 8.999 0.130
0.000 -3.022 9.797



No. 11
! HgIrRuCl2 (PBE, relaxed); values from VASP
! Total magnetic moment   4.83 μB/f.u.
! Crystal system   tetragonal
! ΔE_f (raw)   1.811 eV/atom
&SYSTEM
  ibrav = 0, nat = 5, ntyp = 4
/
ATOMIC_SPECIES
Cl 35.45 Cl.upf
Hg 200.59 Hg.upf
Ru 101.07 Ru.upf
Ir 192.22 Ir.upf
ATOMIC_POSITIONS angstrom
Cl 0.000 2.426 0.000
Cl 2.426 0.000 0.000
Hg 0.000 0.000 0.000
Ru 0.000 0.000 2.910
Ir 2.426 2.426 2.910
CELL_PARAMETERS angstrom
4.853 0.000 0.000
0.000 4.853 0.000
0.000 0.000 5.821



No. 12
! Li2Tb2TeO6 (PBE, relaxed); values from VASP
! Total magnetic moment   0.00 μB/f.u.
! Crystal system   monoclinic
! ΔE_f (raw)   -2.276 eV/atom
&SYSTEM
  ibrav = 0, nat = 11, ntyp = 4
/
ATOMIC_SPECIES
O 16.00 O.upf
Te 127.60 Te.upf
Tb 158.93 Tb.upf
Li 6.94 Li.upf
ATOMIC_POSITIONS angstrom
O 0.599 4.470 1.791
O 1.449 -0.949 3.676
O -1.541 0.791 3.676
O 1.538 2.644 3.997
O 3.589 2.730 1.791
O 0.510 0.877 1.469
Te -0.443 -0.761 2.481
Tb 2.502 0.901 2.733
Tb -0.453 2.620 2.733
Li 4.720 0.629 0.252
Li -1.786 4.414 0.252
CELL_PARAMETERS angstrom
5.965 -0.096 0.252
-3.031 5.138 0.252
-0.885 -1.522 4.962



No. 13
! Cs2Rb3Bi2Au4 (PBE, relaxed); values from VASP
! Total magnetic moment   0.00 μB/f.u.
! Crystal system   tetragonal
! Formation enthalpy at 0 K   -166 meV/atom
&SYSTEM
  ibrav = 0, nat = 11, ntyp = 4
/
ATOMIC_SPECIES
Au 196.97 Au.upf
Bi 208.98 Bi.upf
Cs 132.91 Cs.upf
Rb 85.47 Rb.upf
ATOMIC_POSITIONS angstrom
Au 0.000 2.821 2.708
Au 0.000 2.821 13.226
Au 2.821 0.000 2.708
Au 2.821 0.000 13.226
Bi 0.000 0.000 13.845
Bi 2.821 2.821 2.089
Cs 0.000 0.000 9.859
Cs 2.821 2.821 6.075
Rb 0.000 0.000 4.487
Rb 0.000 0.000 0.000
Rb 2.821 2.821 11.447
CELL_PARAMETERS angstrom
5.643 0.000 0.000
0.000 5.643 0.000
-2.821 -2.821 15.934



No. 14
! ThZrScNb (PBE, relaxed); values from VASP
! Total magnetic moment   0.00 μB/f.u.
! Crystal system   cubic
! Formation enthalpy at 0 K   126 meV/atom
&SYSTEM
  ibrav = 0, nat = 4, ntyp = 4
/
ATOMIC_SPECIES
Sc 44.96 Sc.upf
Th 232.04 Th.upf
Zr 91.22 Zr.upf
Nb 92.91 Nb.upf
ATOMIC_POSITIONS angstrom
Sc 0.000 0.000 0.000
Th 2.552 1.474 1.042
Zr 7.657 4.421 3.126
Nb 5.105 2.947 2.084
CELL_PARAMETERS angstrom
5.105 0.000 0.000
2.552 4.421 0.000
2.552 1.474 4.168



No. 15
! Ac3SiTe (PBE, relaxed); values from VASP
! Total magnetic moment   1.13 μB/f.u.
! Crystal system   trigonal
! ΔE_f (raw)   -0.737 eV/atom
! ΔE to the lowest computed polymorph   0.0000 eV/atom
&SYSTEM
  ibrav = 0, nat = 10, ntyp = 3
/
ATOMIC_SPECIES
Ac 227.00 Ac.upf
Te 127.60 Te.upf
Si 28.09 Si.upf
ATOMIC_POSITIONS angstrom
Ac -2.347 -6.744 -0.928
Ac -0.738 -13.205 -0.334
Ac 0.927 -9.562 -2.709
Ac -4.321 -10.652 1.285
Ac -5.351 -14.084 -0.863
Ac -3.597 -10.561 -3.316
Te -1.664 -9.999 -0.654
Te -2.756 -13.779 -2.894
Si -0.572 -6.239 1.616
Si -4.937 -5.385 -2.100
CELL_PARAMETERS angstrom
-5.442 -4.791 -2.979
2.165 -6.378 -4.009
-1.064 -7.770 4.127



No. 16
! Ag3PbCl6 (PBE, relaxed); values from VASP
! Total magnetic moment   0.00 μB/f.u.
! Crystal system   orthorhombic
! ΔE_f (raw)   -0.613 eV/atom
&SYSTEM
  ibrav = 0, nat = 10, ntyp = 3
/
ATOMIC_SPECIES
Ag 107.87 Ag.upf
Pb 207.20 Pb.upf
Cl 35.45 Cl.upf
ATOMIC_POSITIONS angstrom
Ag 0.000 0.000 0.000
Ag 2.169 -1.376 3.847
Ag 2.169 4.085 -0.096
Pb 0.000 2.708 3.750
Cl 0.000 2.979 7.003
Cl 2.169 1.083 4.924
Cl 0.000 2.438 0.498
Cl 0.000 5.711 5.030
Cl 2.169 4.334 2.577
Cl 0.000 -0.294 2.471
CELL_PARAMETERS angstrom
4.339 0.000 0.000
0.000 8.169 -0.193
0.000 -2.752 7.694



No. 17
! LiLaDyLu (PBE, relaxed); values from VASP
! Total magnetic moment   0.00 μB/f.u.
! Crystal system   cubic
! Formation enthalpy at 0 K   150 meV/atom
&SYSTEM
  ibrav = 0, nat = 4, ntyp = 4
/
ATOMIC_SPECIES
La 138.91 La.upf
Li 6.94 Li.upf
Dy 162.50 Dy.upf
Lu 174.97 Lu.upf
ATOMIC_POSITIONS angstrom
La 0.403 -3.254 0.853
Li 0.000 0.000 0.000
Dy 1.210 -9.763 2.559
Lu 0.807 -6.509 1.706
CELL_PARAMETERS angstrom
-2.385 -4.993 0.025
3.067 -4.535 -0.805
0.932 -3.490 4.192



No. 18
! VSiGe (PBE, relaxed); values from VASP
! Total magnetic moment   0.00 μB/f.u.
! Crystal system   trigonal
! ΔE_f (raw)   0.129 eV/atom
! ΔE to the lowest computed polymorph   0.4231 eV/atom
&SYSTEM
  ibrav = 0, nat = 3, ntyp = 3
/
ATOMIC_SPECIES
Si 28.09 Si.upf
V 50.94 V.upf
Ge 72.64 Ge.upf
ATOMIC_POSITIONS angstrom
Si 2.214 0.000 0.000
V 0.686 0.000 2.547
Ge 2.203 2.205 1.273
CELL_PARAMETERS angstrom
2.551 0.000 0.000
0.000 4.411 0.000
0.000 -2.205 3.820



No. 19
! PrTh2Tl9 (PBE, relaxed); values from VASP
! Total magnetic moment   0.00 μB/f.u.
! Crystal system   tetragonal
! Formation enthalpy at 0 K   -212 meV/atom
&SYSTEM
  ibrav = 0, nat = 12, ntyp = 3
/
ATOMIC_SPECIES
Tl 204.38 Tl.upf
Th 232.04 Th.upf
Pr 140.91 Pr.upf
ATOMIC_POSITIONS angstrom
Tl 2.418 0.000 7.232
Tl 2.418 0.000 12.042
Tl 2.418 0.000 2.421
Tl 0.000 2.418 12.042
Tl 2.418 2.418 9.630
Tl 2.418 2.418 4.833
Tl 2.418 2.418 0.000
Tl 0.000 2.418 7.232
Tl 0.000 2.418 2.421
Th 0.000 0.000 9.623
Th 0.000 0.000 4.841
Pr 0.000 0.000 0.000
CELL_PARAMETERS angstrom
4.836 0.000 0.000
0.000 4.836 0.000
0.000 0.000 14.464



No. 20
! Cs2GaTeI6 (PBE, relaxed); values from VASP
! Total magnetic moment   0.00 μB/f.u.
! Crystal system   tetragonal
! ΔE_f (raw)   -0.747 eV/atom
&SYSTEM
  ibrav = 0, nat = 10, ntyp = 4
/
ATOMIC_SPECIES
I 126.90 I.upf
Cs 132.91 Cs.upf
Te 127.60 Te.upf
Ga 69.72 Ga.upf
ATOMIC_POSITIONS angstrom
I 2.264 2.264 0.000
I 6.404 2.264 0.000
I 6.404 6.404 0.000
I 4.334 4.334 3.099
I 8.667 8.667 2.975
I 2.264 6.404 0.000
Cs 4.334 8.667 3.037
Cs 8.667 4.334 3.037
Te 0.000 0.000 0.000
Ga 4.334 4.334 0.000
CELL_PARAMETERS angstrom
8.667 0.000 0.000
0.000 8.667 0.000
4.334 4.334 6.074